Below is a relaxed TaNbTcBr2 crystal, with properties calculated at the PBE-GGA level.

Lattice parameters (Å, degrees): 4.8944 5.5783 4.8944 90.00 90.00 90.00
Each line ends with the local moment (μB).
Fractional positions:
Tc 0.5000 0.5000 0.5000  3.45
Nb 0.0000 0.5000 0.0000  -1.70
Br 0.5000 0.0000 0.0000  -0.03
Br 0.0000 0.0000 0.5000  0.01
Ta 0.0000 0.0000 0.0000  0.20

Results
ΔE_f (raw) (eV per atom): 1.512
SG: P4/mmm (123)